La2ZnOs: relaxed, PBE.

Values from the calculation:
DFT formation energy ... 0.071 eV/atom
Density ... 9.85 g cm⁻³
Raw total energy ... -22.1 eV per formula unit
Size of the total moment ... 0.00 Bohr magnetons per cell

The structure in extended XYZ format:
```
8
Lattice="4.519 0.000 0.000 0.000 4.519 0.000 0.000 0.000 8.810" Properties=species:S:1:pos:R:3 pbc="T T T"
La 0.000 0.000 0.000
La 0.000 2.259 2.202
La 2.259 0.000 6.607
La 2.259 2.259 4.405
Zn 0.000 0.000 4.405
Zn 2.259 2.259 0.000
Os 0.000 2.259 6.607
Os 2.259 0.000 2.202
```